{"formula": "Pm4Cd3Ag4", "functional": "PBE", "state": "relaxed", "lattice": [[-1.629, 4.615, 9.136], [1.629, -4.615, 9.136], [1.629, 4.615, -9.136]], "species": ["Pm", "Pm", "Pm", "Pm", "Cd", "Cd", "Cd", "Ag", "Ag", "Ag", "Ag"], "frac_coords": [[0.031, 0.848, 0.183], [0.335, 0.152, 0.183], [0.665, 0.848, 0.817], [0.969, 0.152, 0.817], [0.000, 0.500, 0.500], [0.399, 0.399, 0.000], [0.601, 0.601, 0.000], [0.268, 0.768, 0.500], [0.321, 0.000, 0.321], [0.679, 0.000, 0.679], [0.732, 0.232, 0.500]], "dft_energy_ev_per_atom": -3.084}


{"formula": "LaTaAlOs2", "functional": "PBE", "state": "relaxed", "lattice": [[4.224, 0.000, 0.000], [0.000, 4.224, 0.000], [0.000, 0.000, 11.240]], "species": ["La", "La", "Ta", "Ta", "Al", "Al", "Os", "Os", "Os", "Os"], "frac_coords": [[0.000, 0.000, 0.000], [0.500, 0.500, 0.500], [0.000, 0.500, 0.750], [0.500, 0.000, 0.250], [0.000, 0.500, 0.250], [0.500, 0.000, 0.750], [0.000, 0.000, 0.386], [0.000, 0.000, 0.614], [0.500, 0.500, 0.114], [0.500, 0.500, 0.886]], "dft_energy_ev_per_atom": -8.947}


{"formula": "Sc2MnHRu", "functional": "PBE", "state": "relaxed", "lattice": [[4.501, 0.000, 0.000], [0.000, 4.501, 0.000], [0.000, 0.000, 3.385]], "species": ["Sc", "Sc", "Mn", "H", "Ru"], "frac_coords": [[0.000, 0.500, 0.000], [0.500, 0.000, 0.000], [0.000, 0.000, 0.500], [0.000, 0.000, 0.000], [0.500, 0.500, 0.500]], "dft_energy_ev_per_atom": -7.208}


{"formula": "K4ScFe2", "functional": "PBE", "state": "relaxed", "lattice": [[6.647, 0.000, 0.000], [0.000, 6.647, 0.000], [0.000, 0.000, 16.155]], "species": ["K", "K", "K", "K", "K", "K", "K", "K", "Sc", "Sc", "Fe", "Fe", "Fe", "Fe"], "frac_coords": [[0.000, 0.000, 0.228], [0.000, 0.000, 0.772], [0.000, 0.500, 0.000], [0.000, 0.500, 0.500], [0.500, 0.000, 0.000], [0.500, 0.000, 0.500], [0.500, 0.500, 0.272], [0.500, 0.500, 0.728], [0.000, 0.000, 0.000], [0.500, 0.500, 0.500], [0.000, 0.000, 0.435], [0.000, 0.000, 0.565], [0.500, 0.500, 0.065], [0.500, 0.500, 0.935]], "dft_energy_ev_per_atom": -2.781}


{"formula": "CsScSe2", "functional": "PBE", "state": "relaxed", "lattice": [[7.315, 0.000, 0.000], [0.000, 3.665, 0.000], [0.000, 0.000, 18.764]], "species": ["Cs", "Cs", "Cs", "Cs", "Sc", "Sc", "Sc", "Sc", "Se", "Se", "Se", "Se", "Se", "Se", "Se", "Se"], "frac_coords": [[0.242, 0.250, 0.076], [0.258, 0.750, 0.576], [0.742, 0.250, 0.424], [0.758, 0.750, 0.924], [0.236, 0.750, 0.310], [0.264, 0.250, 0.810], [0.736, 0.750, 0.190], [0.764, 0.250, 0.690], [0.015, 0.750, 0.749], [0.240, 0.250, 0.414], [0.260, 0.750, 0.914], [0.485, 0.250, 0.249], [0.515, 0.750, 0.751], [0.740, 0.250, 0.086], [0.760, 0.750, 0.586], [0.985, 0.250, 0.251]], "raw_formation_energy_ev_per_atom": -1.442}


{"formula": "CsCo3P", "functional": "PBE", "state": "relaxed", "lattice": [[4.752, 0.000, 0.000], [0.000, 4.752, 0.000], [0.000, 0.000, 4.752]], "species": ["Cs", "Co", "Co", "Co", "P"], "frac_coords": [[0.000, 0.000, 0.000], [0.000, 0.000, 0.500], [0.000, 0.500, 0.000], [0.500, 0.000, 0.000], [0.500, 0.500, 0.500]], "dft_energy_ev_per_atom": -2.907}


{"formula": "Ca3MgP", "functional": "PBE", "state": "relaxed", "lattice": [[9.716, 0.000, 0.000], [0.000, 6.797, 0.000], [-5.580, 0.000, 9.306]], "species": ["Ca", "Ca", "Ca", "Ca", "Ca", "Ca", "Ca", "Ca", "Ca", "Ca", "Ca", "Ca", "Mg", "Mg", "Mg", "Mg", "P", "P", "P", "P"], "frac_coords": [[0.030, 0.073, 0.306], [0.030, 0.427, 0.806], [0.301, 0.199, 0.681], [0.301, 0.301, 0.181], [0.405, 0.750, 0.427], [0.405, 0.750, 0.927], [0.595, 0.250, 0.073], [0.595, 0.250, 0.573], [0.699, 0.699, 0.819], [0.699, 0.801, 0.319], [0.970, 0.573, 0.194], [0.970, 0.927, 0.694], [0.160, 0.649, 0.554], [0.160, 0.851, 0.054], [0.840, 0.149, 0.946], [0.840, 0.351, 0.446], [0.265, 0.116, 0.923], [0.265, 0.384, 0.423], [0.735, 0.616, 0.577], [0.735, 0.884, 0.077]], "dft_energy_ev_per_atom": -3.084}


{"formula": "TiVTe6", "functional": "PBE", "state": "relaxed", "lattice": [[6.197, 0.000, 0.000], [0.000, 12.694, 0.000], [-0.014, 0.000, 5.928]], "species": ["Ti", "Ti", "V", "V", "Te", "Te", "Te", "Te", "Te", "Te", "Te", "Te", "Te", "Te", "Te", "Te"], "frac_coords": [[0.000, 0.000, 0.000], [0.500, 0.500, 0.000], [0.000, 0.000, 0.500], [0.500, 0.500, 0.500], [0.139, 0.500, 0.256], [0.201, 0.150, 0.258], [0.201, 0.850, 0.258], [0.299, 0.350, 0.742], [0.299, 0.650, 0.742], [0.361, 0.000, 0.744], [0.639, 0.000, 0.256], [0.701, 0.350, 0.258], [0.701, 0.650, 0.258], [0.799, 0.150, 0.742], [0.799, 0.850, 0.742], [0.861, 0.500, 0.744]], "raw_formation_energy_ev_per_atom": -0.287}


{"formula": "Tl12Se5S", "functional": "PBE", "state": "relaxed", "lattice": [[3.799, -6.607, 0.000], [3.799, 6.607, 0.000], [-2.470, 0.000, 12.368]], "species": ["Tl", "Tl", "Tl", "Tl", "Tl", "Tl", "Tl", "Tl", "Tl", "Tl", "Tl", "Tl", "Se", "Se", "Se", "Se", "Se", "S"], "frac_coords": [[0.044, 0.722, 0.634], [0.122, 0.457, 0.862], [0.213, 0.213, 0.139], [0.278, 0.956, 0.366], [0.367, 0.367, 0.634], [0.457, 0.122, 0.862], [0.543, 0.878, 0.138], [0.633, 0.633, 0.366], [0.722, 0.044, 0.634], [0.787, 0.787, 0.861], [0.878, 0.543, 0.138], [0.956, 0.278, 0.366], [0.165, 0.835, 0.000], [0.333, 0.667, 0.500], [0.500, 0.500, 0.000], [0.667, 0.333, 0.500], [0.835, 0.165, 0.000], [0.000, 0.000, 0.500]], "raw_formation_energy_ev_per_atom": -0.365}


{"formula": "Ce2Sm3ScSe6", "functional": "PBE", "state": "relaxed", "lattice": [[9.018, -2.061, 0.000], [9.018, 2.061, 0.000], [-1.952, 0.000, 8.090]], "species": ["Ce", "Ce", "Sm", "Sm", "Sm", "Sc", "Se", "Se", "Se", "Se", "Se", "Se"], "frac_coords": [[0.166, 0.166, 0.335], [0.834, 0.834, 0.665], [0.169, 0.169, 0.835], [0.500, 0.500, 0.500], [0.831, 0.831, 0.165], [0.500, 0.500, 0.000], [0.002, 0.002, 0.767], [0.334, 0.334, 0.414], [0.340, 0.340, 0.921], [0.660, 0.660, 0.079], [0.666, 0.666, 0.586], [0.998, 0.998, 0.233]], "raw_formation_energy_ev_per_atom": -1.769}


{"formula": "La3Ir", "functional": "PBE", "state": "relaxed", "lattice": [[4.413, 0.000, 0.000], [0.000, 4.413, 0.000], [0.000, 0.000, 11.037]], "species": ["La", "La", "La", "La", "La", "La", "Ir", "Ir"], "frac_coords": [[0.000, 0.000, 0.000], [0.000, 0.500, 0.250], [0.000, 0.500, 0.750], [0.500, 0.000, 0.250], [0.500, 0.000, 0.750], [0.500, 0.500, 0.500], [0.000, 0.000, 0.500], [0.500, 0.500, 0.000]], "dft_energy_ev_per_atom": -6.039}


{"formula": "ZnAu3Cl", "functional": "PBE", "state": "relaxed", "lattice": [[5.023, 0.000, 0.000], [0.000, 5.023, 0.000], [0.000, 0.000, 5.023]], "species": ["Zn", "Au", "Au", "Au", "Cl"], "frac_coords": [[0.000, 0.000, 0.000], [0.000, 0.500, 0.500], [0.500, 0.000, 0.500], [0.500, 0.500, 0.000], [0.500, 0.500, 0.500]], "raw_formation_energy_ev_per_atom": 0.845}


{"formula": "Ce2PaWN6", "functional": "PBE", "state": "relaxed", "lattice": [[5.531, 0.000, 0.000], [0.000, 5.531, 0.000], [0.000, 0.000, 5.121]], "species": ["Ce", "Ce", "Pa", "W", "N", "N", "N", "N", "N", "N"], "frac_coords": [[0.000, 0.500, 0.000], [0.500, 0.000, 0.000], [0.000, 0.000, 0.568], [0.500, 0.500, 0.598], [0.000, 0.000, 0.147], [0.261, 0.261, 0.734], [0.261, 0.739, 0.734], [0.500, 0.500, 0.240], [0.739, 0.261, 0.734], [0.739, 0.739, 0.734]], "raw_formation_energy_ev_per_atom": -1.130}


{"formula": "Be2PtW", "functional": "PBE", "state": "relaxed", "lattice": [[2.783, 0.000, 0.000], [0.000, 4.048, 0.000], [0.000, 0.000, 8.587]], "species": ["Be", "Be", "Be", "Be", "Pt", "Pt", "W", "W"], "frac_coords": [[0.000, 0.000, 0.000], [0.000, 0.500, 0.285], [0.500, 0.000, 0.785], [0.500, 0.500, 0.500], [0.000, 0.500, 0.743], [0.500, 0.000, 0.243], [0.000, 0.000, 0.518], [0.500, 0.500, 0.018]], "dft_energy_ev_per_atom": -6.705}


{"formula": "Yb3O4", "functional": "PBE", "state": "relaxed", "lattice": [[9.817, 0.000, 0.000], [0.000, 3.333, 0.000], [0.000, 0.000, 11.764]], "species": ["Yb", "Yb", "Yb", "Yb", "Yb", "Yb", "Yb", "Yb", "Yb", "Yb", "Yb", "Yb", "O", "O", "O", "O", "O", "O", "O", "O", "O", "O", "O", "O", "O", "O", "O", "O"], "frac_coords": [[0.075, 0.250, 0.111], [0.083, 0.250, 0.612], [0.244, 0.250, 0.852], [0.256, 0.750, 0.352], [0.417, 0.750, 0.112], [0.425, 0.750, 0.611], [0.575, 0.250, 0.389], [0.583, 0.250, 0.888], [0.744, 0.250, 0.648], [0.756, 0.750, 0.148], [0.917, 0.750, 0.388], [0.925, 0.750, 0.889], [0.011, 0.250, 0.793], [0.082, 0.250, 0.414], [0.142, 0.750, 0.978], [0.223, 0.750, 0.697], [0.277, 0.250, 0.197], [0.358, 0.250, 0.478], [0.418, 0.750, 0.914], [0.489, 0.750, 0.293], [0.511, 0.250, 0.707], [0.582, 0.250, 0.086], [0.642, 0.750, 0.522], [0.723, 0.750, 0.803], [0.777, 0.250, 0.303], [0.858, 0.250, 0.022], [0.918, 0.750, 0.586], [0.989, 0.750, 0.207]], "raw_formation_energy_ev_per_atom": -2.912}


{"formula": "CuRe2Mo", "functional": "PBE", "state": "relaxed", "lattice": [[2.739, 0.000, 0.000], [0.000, 3.943, 0.000], [0.000, 0.000, 5.423]], "species": ["Cu", "Re", "Re", "Mo"], "frac_coords": [[0.000, 0.000, 0.000], [0.500, 0.500, 0.240], [0.500, 0.500, 0.760], [0.000, 0.000, 0.500]], "dft_energy_ev_per_atom": -9.681}


{"formula": "Ac3GaGe3", "functional": "PBE", "state": "relaxed", "lattice": [[4.295, 0.000, 0.000], [0.000, 4.748, 0.000], [0.000, 0.000, 19.503]], "species": ["Ac", "Ac", "Ac", "Ac", "Ac", "Ac", "Ga", "Ga", "Ge", "Ge", "Ge", "Ge", "Ge", "Ge"], "frac_coords": [[0.000, 0.000, 0.000], [0.000, 0.000, 0.365], [0.000, 0.500, 0.685], [0.500, 0.000, 0.185], [0.500, 0.500, 0.500], [0.500, 0.500, 0.865], [0.000, 0.500, 0.117], [0.500, 0.000, 0.617], [0.000, 0.000, 0.541], [0.000, 0.000, 0.828], [0.000, 0.500, 0.247], [0.500, 0.000, 0.747], [0.500, 0.500, 0.041], [0.500, 0.500, 0.328]], "dft_energy_ev_per_atom": -4.847}


{"formula": "YCuAs", "functional": "PBE", "state": "relaxed", "lattice": [[0.000, 5.356, 6.122], [4.226, 0.000, 6.122], [4.226, 5.356, 0.000]], "species": ["Y", "Y", "Y", "Y", "Cu", "Cu", "Cu", "Cu", "As", "As", "As", "As"], "frac_coords": [[0.038, 0.038, 0.712], [0.288, 0.288, 0.962], [0.712, 0.712, 0.038], [0.962, 0.962, 0.288], [0.000, 0.500, 0.500], [0.500, 0.000, 0.500], [0.500, 0.500, 0.000], [0.500, 0.500, 0.500], [0.117, 0.633, 0.633], [0.367, 0.883, 0.883], [0.633, 0.117, 0.117], [0.883, 0.367, 0.367]], "dft_energy_ev_per_atom": -5.575}


{"formula": "Ce5TlRu4", "functional": "PBE", "state": "relaxed", "lattice": [[7.866, 0.000, 0.000], [0.000, 8.727, 0.000], [0.000, 0.000, 6.987]], "species": ["Ce", "Ce", "Ce", "Ce", "Ce", "Ce", "Ce", "Ce", "Ce", "Ce", "Tl", "Tl", "Ru", "Ru", "Ru", "Ru", "Ru", "Ru", "Ru", "Ru"], "frac_coords": [[0.004, 0.048, 0.240], [0.004, 0.452, 0.240], [0.250, 0.750, 0.387], [0.496, 0.048, 0.240], [0.496, 0.452, 0.240], [0.504, 0.548, 0.760], [0.504, 0.952, 0.760], [0.750, 0.250, 0.613], [0.996, 0.548, 0.760], [0.996, 0.952, 0.760], [0.250, 0.250, 0.861], [0.750, 0.750, 0.139], [0.081, 0.750, 0.000], [0.250, 0.081, 0.489], [0.250, 0.419, 0.489], [0.419, 0.750, 0.000], [0.581, 0.250, 0.000], [0.750, 0.581, 0.511], [0.750, 0.919, 0.511], [0.919, 0.250, 0.000]], "dft_energy_ev_per_atom": -7.099}


{"formula": "Th2ScSi3Ni12", "functional": "PBE", "state": "relaxed", "lattice": [[4.281, 2.471, 3.998], [-4.281, 2.471, 3.998], [0.000, -4.943, 3.998]], "species": ["Th", "Th", "Sc", "Si", "Si", "Si", "Ni", "Ni", "Ni", "Ni", "Ni", "Ni", "Ni", "Ni", "Ni", "Ni", "Ni", "Ni"], "frac_coords": [[0.159, 0.159, 0.159], [0.841, 0.841, 0.841], [0.500, 0.500, 0.500], [0.000, 0.500, 0.500], [0.500, 0.000, 0.500], [0.500, 0.500, 0.000], [0.118, 0.118, 0.592], [0.118, 0.592, 0.118], [0.197, 0.691, 0.691], [0.309, 0.309, 0.803], [0.309, 0.803, 0.309], [0.408, 0.882, 0.882], [0.592, 0.118, 0.118], [0.691, 0.197, 0.691], [0.691, 0.691, 0.197], [0.803, 0.309, 0.309], [0.882, 0.408, 0.882], [0.882, 0.882, 0.408]], "raw_formation_energy_ev_per_atom": -0.269}